# 1
Entry from Alexandria via LeMat-Bulk: GdMn2O5 after structural relaxation (PBE+U).

Results
The space group is No. 55. The calculation puts the calculated volume at 373.1 Å³ per cell. For the total DFT energy (no corrections), the calculation gives -71.27 eV/f.u. The total magnetic moment comes out at 0.00 μB per formula unit.

abc: 7.4452 8.6324 5.8049
angles: 90.00 90.00 90.00
Fractional coordinates of all 32 atoms:
Gd1 0.1392 0.1711 0.0000
Gd2 0.3608 0.6711 0.0000
Gd3 0.6392 0.3289 0.0000
Gd4 0.8608 0.8289 0.0000
Mn1 0.0000 0.5000 0.2548
Mn2 0.0000 0.5000 0.7452
Mn3 0.0894 0.8493 0.5000
Mn4 0.4106 0.3493 0.5000
Mn5 0.5000 0.0000 0.2548
Mn6 0.5000 0.0000 0.7452
Mn7 0.5894 0.6507 0.5000
Mn8 0.9106 0.1507 0.5000
O1 0.0000 0.0000 0.2732
O2 0.0000 0.0000 0.7268
O3 0.1047 0.7066 0.2433
O4 0.1047 0.7066 0.7567
O5 0.1512 0.4320 0.5000
O6 0.1615 0.4443 0.0000
O7 0.3385 0.9443 0.0000
O8 0.3488 0.9320 0.5000
O9 0.3953 0.2066 0.2433
O10 0.3953 0.2066 0.7567
O11 0.5000 0.5000 0.2732
O12 0.5000 0.5000 0.7268
O13 0.6047 0.7934 0.2433
O14 0.6047 0.7934 0.7567
O15 0.6512 0.0680 0.5000
O16 0.6615 0.0557 0.0000
O17 0.8385 0.5557 0.0000
O18 0.8488 0.5680 0.5000
O19 0.8953 0.2934 0.2433
O20 0.8953 0.2934 0.7567

---

# 2
Entry from Alexandria via LeMat-Bulk: GdMnO3 after structural relaxation (PBE+U).

Results
The space group is No. 62. The calculation puts the calculated volume at 240.3 Å³ per cell. For the total DFT energy (no corrections), the calculation gives -49.28 eV/f.u. The total magnetic moment comes out at 3.00 μB per formula unit.

abc: 5.9100 7.5486 5.3870
angles: 90.00 90.00 90.00
Fractional coordinates of all 20 atoms:
Gd1 0.0800 0.2500 0.0179
Gd2 0.4200 0.7500 0.5179
Gd3 0.5800 0.2500 0.4821
Gd4 0.9200 0.7500 0.9821
Mn1 0.0000 0.0000 0.5000
Mn2 0.0000 0.5000 0.5000
Mn3 0.5000 0.0000 0.0000
Mn4 0.5000 0.5000 0.0000
O1 0.0367 0.7500 0.3889
O2 0.1762 0.5535 0.7959
O3 0.1762 0.9465 0.7959
O4 0.3238 0.0535 0.2959
O5 0.3238 0.4465 0.2959
O6 0.4633 0.2500 0.8889
O7 0.5367 0.7500 0.1111
O8 0.6762 0.5535 0.7041
O9 0.6762 0.9465 0.7041
O10 0.8238 0.0535 0.2041
O11 0.8238 0.4465 0.2041
O12 0.9633 0.2500 0.6111

---

# 3
Entry from Alexandria via LeMat-Bulk: GdMn2O4 after structural relaxation (PBE+U).

Results
The space group is No. 12. The calculation puts the calculated volume at 189.3 Å³ per cell. For the total DFT energy (no corrections), the calculation gives -64.23 eV/f.u. The total magnetic moment comes out at 7.01 μB per formula unit.

abc: 6.5224 6.5224 6.2880
angles: 118.15 118.15 57.00
Fractional coordinates of all 14 atoms:
Gd1 0.1246 0.1246 0.3899
Gd2 0.8754 0.8754 0.6101
Mn1 0.0000 0.5000 0.0000
Mn2 0.5000 0.0000 0.0000
Mn3 0.5000 0.5000 0.0000
Mn4 0.5000 0.5000 0.5000
O1 0.2477 0.2477 0.2164
O2 0.2682 0.2682 0.7996
O3 0.2697 0.7091 0.2655
O4 0.2909 0.7303 0.7345
O5 0.7091 0.2697 0.2655
O6 0.7303 0.2909 0.7345
O7 0.7318 0.7318 0.2004
O8 0.7523 0.7523 0.7836

---

# 4
Entry from Alexandria via LeMat-Bulk: Gd3MnO after structural relaxation (PBE+U).

Results
The space group is No. 221. The calculation puts the calculated volume at 115.0 Å³ per cell. For the total DFT energy (no corrections), the calculation gives -59.68 eV/f.u. The total magnetic moment comes out at 26.02 μB per formula unit.

abc: 4.8636 4.8636 4.8636
angles: 90.00 90.00 90.00
Fractional coordinates of all 5 atoms:
Gd1 0.0000 0.0000 0.5000
Gd2 0.0000 0.5000 0.0000
Gd3 0.5000 0.0000 0.0000
Mn1 0.5000 0.5000 0.5000
O1 0.0000 0.0000 0.0000